Material: NaCa3F
Method: DFT, PBE
State: relaxed

Values from the calculation:
E_form (uncorrected): -0.836 eV per atom
Distance to the lowest polymorph of the same formula: 0 meV/atom
DOS(E_F): 3.9 states/eV/cell
ρ: 1.39 g/cm³

Cell: 5.788 5.788 5.788 Å, 90.00 90.00 90.00°
Sites, in units of the cell vectors:
Na  0.000  0.000  0.000
Ca  0.000  0.500  0.500
Ca  0.500  0.000  0.500
Ca  0.500  0.500  0.000
F  0.500  0.500  0.500

***

Material: NiSb2Cl
Method: DFT, PBE
State: relaxed

Values from the calculation:
E_form (uncorrected): 0.479 eV per atom
Distance to the lowest polymorph of the same formula: 781 meV/atom
DOS(E_F): 3.5 states/eV/cell
ρ: 6.34 g/cm³

Cell: 4.241 4.241 4.914 Å, 90.00 90.00 90.00°
Sites, in units of the cell vectors:
Ni  0.000  0.000  0.000
Sb  0.000  0.500  0.500
Sb  0.500  0.000  0.500
Cl  0.500  0.500  0.000

***

Material: LiTaIO2
Method: DFT, PBE
State: relaxed

Values from the calculation:
E_form (uncorrected): -1.657 eV per atom
Distance to the lowest polymorph of the same formula: 0 meV/atom
DOS(E_F): 1.4 states/eV/cell
ρ: 6.01 g/cm³

Cell: 3.959 3.959 6.119 Å, 90.00 90.00 90.00°
Sites, in units of the cell vectors:
Li  0.000  0.000  0.000
Ta  0.500  0.500  0.500
I  0.500  0.500  0.000
O  0.000  0.500  0.500
O  0.500  0.000  0.500

***

Material: LiBeFe2
Method: DFT, PBE
State: relaxed

Values from the calculation:
DOS(E_F): 2.4 states/eV/cell
ρ: 5.07 g/cm³
ΔE_f: 0.7 eV per formula unit

Cell: 4.534 4.534 4.534 Å, 144.41 128.71 63.98°
Sites, in units of the cell vectors:
Li  0.000  0.000  0.000
Be  0.240  0.740  0.500
Fe  0.479  0.479  0.000
Fe  0.734  0.234  0.500